[1]
NpNbPd, relaxed, DFT PBE-GGA; symmetry = F-43m, No. 216; ρ = 11.8 g cm⁻³; calculated formation energy = 0.579 eV per atom; magnetization = 3.1 μB/cell
1.0
-0.258 -4.421 -0.136
-3.942 -1.978 -0.425
-1.057 -2.043 -3.787
Nb Np Pd
1 1 1
direct
0.000 0.000 0.000
0.250 0.250 0.250
0.750 0.750 0.750


[2]
Li2Nb2SO3, relaxed, DFT PBE-GGA; symmetry = P3m1, No. 156; energy = -58.6 eV/cell; ρ = 5.2 g cm⁻³; magnetization = 0.0 μB/cell
1.0
-0.350 2.139 -2.074
1.734 -2.379 -0.576
-9.139 -5.630 -4.262
Li Nb O S
2 2 3 1
direct
0.000 0.000 0.505
0.000 0.000 0.974
0.000 0.000 0.273
0.000 0.000 0.742
0.333 0.667 0.391
0.667 0.333 0.628
0.667 0.333 0.859
0.333 0.667 0.127


[3]
LiMgTlCd, relaxed, DFT PBE-GGA; symmetry = F-43m, No. 216; energy = -7.3 eV/cell; ρ = 6.8 g cm⁻³
1.0
0.000 3.490 3.490
3.490 0.000 3.490
3.490 3.490 0.000
Cd Li Mg Tl
1 1 1 1
direct
0.000 0.000 0.000
0.750 0.750 0.750
0.250 0.250 0.250
0.500 0.500 0.500


[4]
SmErZr2Bi2, relaxed, DFT PBE-GGA; symmetry = I4mm, No. 107; energy = -37.8 eV/cell; ρ = 9.5 g cm⁻³; magnetization = 0.0 μB/cell
1.0
-7.572 -4.916 0.202
-8.947 1.057 0.603
8.072 2.092 -3.464
Bi Er Sm Zr
2 1 1 2
direct
0.134 0.134 0.000
0.867 0.867 0.000
0.675 0.675 0.000
0.323 0.323 0.000
0.501 0.001 0.500
0.001 0.501 0.500


[5]
SnIr2Os, relaxed, DFT PBE-GGA; symmetry = F-43m, No. 216; energy = -31.0 eV/cell; ρ = 17.9 g cm⁻³; magnetization = 0.6 μB/cell
1.0
3.337 -1.958 2.297
-0.613 -1.167 4.302
-0.295 -4.345 1.132
Ir Os Sn
2 1 1
direct
0.000 0.000 0.000
0.750 0.750 0.750
0.250 0.250 0.250
0.500 0.500 0.500


[6]
SrLiHoSe3, relaxed, DFT PBE-GGA; symmetry = C2/m, No. 12; energy = -59.0 eV/cell; ρ = 5.4 g cm⁻³; magnetization = 0.0 μB/cell
1.0
8.851 -2.063 0.000
8.851 2.063 0.000
-2.121 0.000 8.392
Ho Li Se Sr
2 2 6 2
direct
0.166 0.166 0.086
0.834 0.834 0.914
0.510 0.510 0.203
0.490 0.490 0.797
0.000 0.000 0.000
0.332 0.332 0.143
0.675 0.675 0.316
0.500 0.500 0.500
0.325 0.325 0.684
0.668 0.668 0.857
0.867 0.867 0.434
0.133 0.133 0.566


[7]
Th3Ge3Ir2, relaxed, DFT PBE-GGA; symmetry = Cmcm, No. 63; energy = -121.8 eV/cell; ρ = 11.9 g cm⁻³; magnetization = 0.0 μB/cell
1.0
-5.460 -2.010 0.666
5.135 -0.644 2.741
-3.305 11.961 9.000
Ge Ir Th
6 4 6
direct
0.096 0.904 0.046
0.810 0.190 0.250
0.096 0.904 0.454
0.904 0.096 0.546
0.190 0.810 0.750
0.904 0.096 0.954
0.652 0.348 0.119
0.652 0.348 0.381
0.348 0.652 0.619
0.348 0.652 0.881
0.370 0.630 0.096
0.094 0.906 0.250
0.370 0.630 0.404
0.630 0.370 0.596
0.906 0.094 0.750
0.630 0.370 0.904


[8]
RbIr3N5, relaxed, DFT PBE-GGA; symmetry = P6/mmm, No. 191; energy = -59.4 eV/cell; ρ = 8.2 g cm⁻³; magnetization = 0.2 μB/cell
1.0
5.240 0.000 0.000
-2.620 4.538 0.000
0.000 0.000 6.206
Ir N Rb
3 5 1
direct
0.500 0.000 0.500
0.000 0.500 0.500
0.500 0.500 0.500
0.667 0.333 0.286
0.333 0.667 0.286
0.000 0.000 0.500
0.667 0.333 0.714
0.333 0.667 0.714
0.000 0.000 0.000